Record 1
Entry from the Alexandria database: a relaxed structure of InNiP2Cl (GGA-PBEsol).

Lattice parameters (Å, degrees): 4.358 4.358 4.892 90.00 90.00 90.00
Fractional positions:
In 0.000 0.000 0.000
Ni 0.500 0.500 0.500
P 0.000 0.500 0.500
P 0.500 0.000 0.500
Cl 0.500 0.500 0.000

Values from the calculation:
For the calculated volume, the calculation gives 92.9 Å³/cell. Its density of states at the Fermi level is 4.997 states/eV/cell. As for the calculated total energy: -21.602 eV per formula unit. Its symmetry is P4/mmm.

Record 2
Entry from the Alexandria database: a relaxed structure of InNiSCl2 (GGA-PBEsol).

Lattice parameters (Å, degrees): 4.462 4.462 4.749 90.00 90.00 90.00
Fractional positions:
In 0.000 0.000 0.000
Ni 0.500 0.500 0.500
S 0.500 0.500 0.000
Cl 0.000 0.500 0.500
Cl 0.500 0.000 0.500

Values from the calculation:
For the calculated volume, the calculation gives 94.6 Å³/cell. Its density of states at the Fermi level is 2.860 states/eV/cell. As for the calculated total energy: -19.232 eV per formula unit. Its symmetry is P4/mmm.

Record 3
Entry from the Alexandria database: a relaxed structure of In2PCl (GGA-PBEsol).

Lattice parameters (Å, degrees): 3.666 3.666 7.927 90.00 90.00 90.00
Fractional positions:
In 0.000 0.000 0.000
In 0.500 0.500 0.464
P 0.000 0.000 0.393
Cl 0.500 0.500 0.797

Values from the calculation:
For the calculated volume, the calculation gives 106.5 Å³/cell. Its density of states at the Fermi level is 1.684 states/eV/cell. The value obtained for the excess energy over the best structure of this formula in the dataset is 14 meV per atom. Its symmetry is P4mm.

Record 4
Entry from the Alexandria database: a relaxed structure of InPCl2 (GGA-PBEsol).

Lattice parameters (Å, degrees): 5.084 5.084 3.200 90.00 90.00 90.00
Fractional positions:
In 0.000 0.000 0.000
P 0.500 0.500 0.000
Cl 0.000 0.500 0.500
Cl 0.500 0.000 0.500

Values from the calculation:
For the calculated volume, the calculation gives 82.7 Å³/cell. Its density of states at the Fermi level is 2.401 states/eV/cell. The value obtained for the excess energy over the best structure of this formula in the dataset is 96 meV per atom. Its symmetry is P4/mmm.

Record 5
Entry from the Alexandria database: a relaxed structure of InPCl2 (GGA-PBEsol).

Lattice parameters (Å, degrees): 4.313 4.313 8.548 90.00 90.00 90.00
Fractional positions:
In 0.000 0.000 0.000
In 0.500 0.500 0.500
P 0.000 0.000 0.500
P 0.500 0.500 0.000
Cl 0.000 0.500 0.250
Cl 0.000 0.500 0.750
Cl 0.500 0.000 0.250
Cl 0.500 0.000 0.750

Values from the calculation:
For the calculated volume, the calculation gives 159.0 Å³/cell. Its density of states at the Fermi level is 6.497 states/eV/cell. The value obtained for the excess energy over the best structure of this formula in the dataset is 114 meV per atom. Its symmetry is I4/mmm.

Record 6
Entry from the Alexandria database: a relaxed structure of InPCl2 (GGA-PBEsol).

Lattice parameters (Å, degrees): 3.227 3.227 26.701 90.00 90.00 120.00
Fractional positions:
In 0.000 0.000 0.000
In 0.333 0.667 0.667
In 0.667 0.333 0.333
P 0.000 0.000 0.500
P 0.333 0.667 0.167
P 0.667 0.333 0.833
Cl 0.000 0.000 0.243
Cl 0.000 0.000 0.757
Cl 0.333 0.667 0.424
Cl 0.333 0.667 0.910
Cl 0.667 0.333 0.090
Cl 0.667 0.333 0.576

Values from the calculation:
For the calculated volume, the calculation gives 240.8 Å³/cell. Its density of states at the Fermi level is 4.104 states/eV/cell. The value obtained for the excess energy over the best structure of this formula in the dataset is 0 meV per atom. Its symmetry is R-3m.

Record 7
Entry from the Alexandria database: a relaxed structure of In2PCl (GGA-PBEsol).

Lattice parameters (Å, degrees): 6.943 6.943 6.943 90.00 90.00 90.00
Fractional positions:
In 0.250 0.250 0.250
In 0.250 0.250 0.750
In 0.250 0.750 0.250
In 0.250 0.750 0.750
In 0.750 0.250 0.250
In 0.750 0.250 0.750
In 0.750 0.750 0.250
In 0.750 0.750 0.750
P 0.000 0.000 0.000
P 0.000 0.500 0.500
P 0.500 0.000 0.500
P 0.500 0.500 0.000
Cl 0.000 0.000 0.500
Cl 0.000 0.500 0.000
Cl 0.500 0.000 0.000
Cl 0.500 0.500 0.500

Values from the calculation:
For the calculated volume, the calculation gives 334.7 Å³/cell. Its density of states at the Fermi level is 4.402 states/eV/cell. The value obtained for the excess energy over the best structure of this formula in the dataset is 0 meV per atom. Its symmetry is Fm-3m.

Record 8
Entry from the Alexandria database: a relaxed structure of InPPbCl2 (GGA-PBEsol).

Lattice parameters (Å, degrees): 5.434 5.434 5.327 90.00 90.00 90.00
Fractional positions:
In 0.000 0.000 0.000
P 0.500 0.500 0.000
Pb 0.500 0.500 0.500
Cl 0.000 0.500 0.500
Cl 0.500 0.000 0.500

Values from the calculation:
For the calculated volume, the calculation gives 157.3 Å³/cell. Its density of states at the Fermi level is 2.913 states/eV/cell. As for the calculated total energy: -16.972 eV per formula unit. Its symmetry is P4/mmm.

Record 9
Entry from the Alexandria database: a relaxed structure of RbInP2Cl (GGA-PBEsol).

Lattice parameters (Å, degrees): 5.003 5.003 5.725 90.00 90.00 90.00
Fractional positions:
Rb 0.000 0.000 0.000
In 0.500 0.500 0.500
P 0.000 0.500 0.500
P 0.500 0.000 0.500
Cl 0.500 0.500 0.000

Values from the calculation:
For the calculated volume, the calculation gives 143.3 Å³/cell. Its density of states at the Fermi level is 3.493 states/eV/cell. As for the calculated total energy: -17.319 eV per formula unit. Its symmetry is P4/mmm.

Record 10
Entry from the Alexandria database: a relaxed structure of InPRuCl2 (GGA-PBEsol).

Lattice parameters (Å, degrees): 4.915 4.915 4.439 90.00 90.00 90.00
Fractional positions:
In 0.000 0.000 0.000
P 0.500 0.500 0.000
Ru 0.500 0.500 0.500
Cl 0.000 0.500 0.500
Cl 0.500 0.000 0.500

Values from the calculation:
For the calculated volume, the calculation gives 107.2 Å³/cell. Its density of states at the Fermi level is 3.620 states/eV/cell. As for the calculated total energy: -23.228 eV per formula unit. Its symmetry is P4/mmm.

Record 11
Entry from the Alexandria database: a relaxed structure of InSbP2Cl (GGA-PBEsol).

Lattice parameters (Å, degrees): 5.011 5.011 4.843 90.00 90.00 90.00
Fractional positions:
In 0.000 0.000 0.000
Sb 0.500 0.500 0.500
P 0.000 0.500 0.000
P 0.500 0.000 0.000
Cl 0.000 0.000 0.500

Values from the calculation:
For the calculated volume, the calculation gives 121.6 Å³/cell. Its density of states at the Fermi level is 2.951 states/eV/cell. As for the calculated total energy: -18.137 eV per formula unit. Its symmetry is P4/mmm.

Record 12
Entry from the Alexandria database: a relaxed structure of InPSeCl2 (GGA-PBEsol).

Lattice parameters (Å, degrees): 5.285 5.285 4.608 90.00 90.00 90.00
Fractional positions:
In 0.000 0.000 0.000
P 0.500 0.500 0.000
Se 0.500 0.500 0.500
Cl 0.000 0.500 0.500
Cl 0.500 0.000 0.500

Values from the calculation:
For the calculated volume, the calculation gives 128.7 Å³/cell. Its density of states at the Fermi level is 1.641 states/eV/cell. As for the calculated total energy: -15.879 eV per formula unit. Its symmetry is P4/mmm.

Record 13
Entry from the Alexandria database: a relaxed structure of InSiP2Cl (GGA-PBEsol).

Lattice parameters (Å, degrees): 4.969 4.969 4.920 90.00 90.00 90.00
Fractional positions:
In 0.000 0.000 0.000
Si 0.500 0.500 0.500
P 0.000 0.500 0.000
P 0.500 0.000 0.000
Cl 0.000 0.000 0.500

Values from the calculation:
For the calculated volume, the calculation gives 121.5 Å³/cell. Its density of states at the Fermi level is 4.401 states/eV/cell. As for the calculated total energy: -17.575 eV per formula unit. Its symmetry is P4/mmm.

Record 14
Entry from the Alexandria database: a relaxed structure of SrInPCl2 (GGA-PBEsol).

Lattice parameters (Å, degrees): 5.457 5.457 5.941 90.00 90.00 90.00
Fractional positions:
Sr 0.000 0.000 0.000
In 0.500 0.500 0.500
P 0.000 0.000 0.500
Cl 0.000 0.500 0.000
Cl 0.500 0.000 0.000

Values from the calculation:
For the calculated volume, the calculation gives 176.9 Å³/cell. Its density of states at the Fermi level is 2.201 states/eV/cell. As for the calculated total energy: -17.602 eV per formula unit. Its symmetry is P4/mmm.

Record 15
Entry from the Alexandria database: a relaxed structure of TaInPCl2 (GGA-PBEsol).

Lattice parameters (Å, degrees): 4.827 4.827 5.172 90.00 90.00 90.00
Fractional positions:
Ta 0.000 0.000 0.000
In 0.500 0.500 0.500
P 0.500 0.500 0.000
Cl 0.000 0.500 0.500
Cl 0.500 0.000 0.500

Values from the calculation:
For the calculated volume, the calculation gives 120.5 Å³/cell. Its density of states at the Fermi level is 5.749 states/eV/cell. As for the calculated total energy: -20.759 eV per formula unit. Its symmetry is P4/mmm.

Record 16
Entry from the Alexandria database: a relaxed structure of InPWCl2 (GGA-PBEsol).

Lattice parameters (Å, degrees): 4.805 4.805 4.733 90.00 90.00 90.00
Fractional positions:
In 0.000 0.000 0.000
P 0.500 0.500 0.000
W 0.500 0.500 0.500
Cl 0.000 0.500 0.500
Cl 0.500 0.000 0.500

Values from the calculation:
For the calculated volume, the calculation gives 109.3 Å³/cell. Its density of states at the Fermi level is 3.023 states/eV/cell. As for the calculated total energy: -26.436 eV per formula unit. Its symmetry is P4/mmm.

Record 17
Entry from the Alexandria database: a relaxed structure of In2Pb2Cl (GGA-PBEsol).

Lattice parameters (Å, degrees): 4.094 4.094 16.799 90.00 90.00 90.00
Fractional positions:
In 0.000 0.500 0.250
In 0.000 0.500 0.750
In 0.500 0.000 0.250
In 0.500 0.000 0.750
Pb 0.000 0.000 0.100
Pb 0.000 0.000 0.900
Pb 0.500 0.500 0.400
Pb 0.500 0.500 0.600
Cl 0.000 0.000 0.500
Cl 0.500 0.500 0.000

Values from the calculation:
For the calculated volume, the calculation gives 281.5 Å³/cell. Its density of states at the Fermi level is 4.124 states/eV/cell. As for the calculated total energy: -16.712 eV per formula unit. Its symmetry is I4/mmm.

Record 18
Entry from the Alexandria database: a relaxed structure of In2PbCl (GGA-PBEsol).

Lattice parameters (Å, degrees): 3.433 5.455 11.052 90.00 90.00 90.00
Fractional positions:
In 0.000 0.000 0.000
In 0.000 0.500 0.253
In 0.500 0.000 0.753
In 0.500 0.500 0.500
Pb 0.000 0.500 0.752
Pb 0.500 0.000 0.252
Cl 0.000 0.000 0.511
Cl 0.500 0.500 0.011

Values from the calculation:
For the calculated volume, the calculation gives 206.9 Å³/cell. Its density of states at the Fermi level is 3.510 states/eV/cell. As for the calculated total energy: -12.911 eV per formula unit. Its symmetry is Imm2.

Record 19
Entry from the Alexandria database: a relaxed structure of InPbS2Cl (GGA-PBEsol).

Lattice parameters (Å, degrees): 4.998 4.998 4.925 90.00 90.00 90.00
Fractional positions:
In 0.000 0.000 0.000
Pb 0.500 0.500 0.500
S 0.000 0.500 0.000
S 0.500 0.000 0.000
Cl 0.000 0.000 0.500

Values from the calculation:
For the calculated volume, the calculation gives 123.0 Å³/cell. Its density of states at the Fermi level is 0.602 states/eV/cell. The value obtained for the excess energy over the best structure of this formula in the dataset is 0 meV per atom. Its symmetry is P4/mmm.

Record 20
Entry from the Alexandria database: a relaxed structure of InPbS2Cl (GGA-PBEsol).

Lattice parameters (Å, degrees): 5.105 5.105 5.367 90.00 90.00 90.00
Fractional positions:
In 0.000 0.000 0.000
Pb 0.500 0.500 0.500
S 0.000 0.500 0.500
S 0.500 0.000 0.500
Cl 0.500 0.500 0.000

Values from the calculation:
For the calculated volume, the calculation gives 139.9 Å³/cell. Its density of states at the Fermi level is 2.463 states/eV/cell. The value obtained for the excess energy over the best structure of this formula in the dataset is 294 meV per atom. Its symmetry is P4/mmm.